A geometry-optimized BaYNb2Rh structure, computed with PBE-GGA. Values from VASP.

Computed properties:
Its formation enthalpy at 0 K is 1965 meV per atom. The crystal system is tetragonal.

```
&SYSTEM
  ibrav = 0, nat = 5, ntyp = 4
/
ATOMIC_SPECIES
Ba 137.33 Ba.upf
Y 88.91 Y.upf
Nb 92.91 Nb.upf
Rh 102.91 Rh.upf
ATOMIC_POSITIONS angstrom
Ba 2.956 0.247 -0.447
Y 0.000 0.000 0.000
Nb 0.416 -1.565 1.885
Nb -0.078 -1.920 -1.577
Rh 3.295 -3.238 -0.138
CELL_PARAMETERS angstrom
-0.155 -3.840 -3.153
5.913 0.495 -0.894
0.832 -3.130 3.771
```